1 | K2BiF5: relaxed, PBE.

Summary:
density of states at the Fermi level = 0.00 states/eV/f.u.

Cell: 5.956 5.956 5.956 Å, 112.55 112.55 103.48°
Positions (direct):
K 0.000 0.500 0.500
K 0.500 0.000 0.500
Bi 0.230 0.230 0.000
F 0.039 0.039 0.531
F 0.039 0.509 0.000
F 0.509 0.039 0.000
F 0.509 0.509 0.000
F 0.509 0.509 0.469

***

2 | K2BiF5: relaxed, PBE.

Summary:
density of states at the Fermi level = 0.00 states/eV/f.u.

Cell: 11.668 7.557 6.682 Å, 90.00 90.00 90.00°
Positions (direct):
K 0.170 0.000 0.000
K 0.170 0.500 0.000
K 0.330 0.000 0.500
K 0.330 0.500 0.500
K 0.670 0.000 0.500
K 0.670 0.500 0.500
K 0.830 0.000 0.000
K 0.830 0.500 0.000
Bi 0.045 0.250 0.443
Bi 0.455 0.750 0.943
Bi 0.545 0.250 0.057
Bi 0.955 0.750 0.557
F 0.013 0.750 0.885
F 0.095 0.546 0.395
F 0.095 0.954 0.395
F 0.168 0.250 0.702
F 0.215 0.250 0.281
F 0.285 0.750 0.781
F 0.332 0.750 0.202
F 0.405 0.046 0.895
F 0.405 0.454 0.895
F 0.487 0.250 0.385
F 0.513 0.750 0.615
F 0.595 0.546 0.105
F 0.595 0.954 0.105
F 0.668 0.250 0.798
F 0.715 0.250 0.219
F 0.785 0.750 0.719
F 0.832 0.750 0.298
F 0.905 0.046 0.605
F 0.905 0.454 0.605
F 0.987 0.250 0.115

***

Stability check: which of them is least stable? 1.

***

1 | KBi2F7: relaxed, PBE.

Summary:
density of states at the Fermi level = 0.00 states/eV/f.u.

Cell: 6.897 6.897 4.519 Å, 90.00 90.00 115.53°
Positions (direct):
K 0.000 0.000 0.000
Bi 0.303 0.697 0.500
Bi 0.697 0.303 0.500
F 0.046 0.329 0.500
F 0.275 0.725 0.000
F 0.329 0.046 0.500
F 0.500 0.500 0.500
F 0.671 0.954 0.500
F 0.725 0.275 0.000
F 0.954 0.671 0.500

***

2 | KBi2F7: relaxed, PBE.

Summary:
density of states at the Fermi level = 0.00 states/eV/f.u.

Cell: 4.163 4.166 11.731 Å, 81.75 81.86 60.30°
Positions (direct):
K 0.000 0.000 0.000
Bi 0.421 0.419 0.700
Bi 0.577 0.578 0.303
F 0.073 0.071 0.745
F 0.265 0.268 0.261
F 0.367 0.366 0.892
F 0.488 0.487 0.501
F 0.632 0.633 0.111
F 0.760 0.759 0.668
F 0.912 0.914 0.332

***

Stability check: which of them is least stable? 2.

***

1 | K2LiBiF6: relaxed, PBE.

Summary:
density of states at the Fermi level = 0.00 states/eV/f.u.

Cell: 6.153 6.153 6.153 Å, 60.00 60.00 60.00°
Positions (direct):
K 0.250 0.250 0.250
K 0.750 0.750 0.750
Li 0.000 0.000 0.000
Bi 0.500 0.500 0.500
F 0.240 0.240 0.760
F 0.240 0.760 0.240
F 0.240 0.760 0.760
F 0.760 0.240 0.240
F 0.760 0.240 0.760
F 0.760 0.760 0.240

***

2 | K2LiBiF6: relaxed, PBE.

Summary:
density of states at the Fermi level = 0.00 states/eV/f.u.

Cell: 6.120 6.154 10.584 Å, 90.00 125.01 90.00°
Positions (direct):
K 0.243 0.030 0.249
K 0.243 0.470 0.749
K 0.757 0.530 0.251
K 0.757 0.970 0.751
Li 0.000 0.000 0.500
Li 0.000 0.500 0.000
Bi 0.500 0.000 0.000
Bi 0.500 0.500 0.500
F 0.172 0.221 0.967
F 0.172 0.279 0.467
F 0.245 0.706 0.967
F 0.245 0.794 0.467
F 0.305 0.015 0.741
F 0.305 0.485 0.241
F 0.695 0.515 0.759
F 0.695 0.985 0.259
F 0.755 0.206 0.533
F 0.755 0.294 0.033
F 0.828 0.721 0.533
F 0.828 0.779 0.033

***

Stability check: which of them is least stable? 1.

***

1 | KBiOF2: relaxed, PBE.

Summary:
density of states at the Fermi level = 2.31 states/eV/f.u.

Cell: 4.437 4.437 4.782 Å, 90.00 90.00 90.00°
Positions (direct):
K 0.000 0.000 0.000
Bi 0.500 0.500 0.500
O 0.000 0.000 0.500
F 0.000 0.500 0.000
F 0.500 0.000 0.000

***

2 | KBiOF2: relaxed, PBE.

Summary:
density of states at the Fermi level = 0.00 states/eV/f.u.

Cell: 4.709 4.709 4.492 Å, 90.00 90.00 90.00°
Positions (direct):
K 0.000 0.000 0.000
Bi 0.500 0.500 0.500
O 0.500 0.500 0.000
F 0.000 0.500 0.500
F 0.500 0.000 0.500

***

Stability check: which of them is least stable? 1.

***

1 | LaBi2F: relaxed, PBE.

Summary:
density of states at the Fermi level = 2.39 states/eV/f.u.

Cell: 5.403 5.403 5.403 Å, 60.00 60.00 60.00°
Positions (direct):
La 0.000 0.000 0.000
Bi 0.250 0.250 0.250
Bi 0.750 0.750 0.750
F 0.500 0.500 0.500

***

2 | LaBi2F: relaxed, PBE.

Summary:
density of states at the Fermi level = 2.43 states/eV/f.u.

Cell: 9.056 9.056 9.056 Å, 142.76 142.76 53.68°
Positions (direct):
La 0.000 0.000 0.000
La 0.750 0.250 0.500
Bi 0.271 0.625 0.146
Bi 0.375 0.521 0.646
Bi 0.479 0.125 0.854
Bi 0.875 0.729 0.354
F 0.250 0.750 0.500
F 0.500 0.500 0.000

***

Stability check: which of them is least stable? 2.

***

1 | La2BiF: relaxed, PBE.

Summary:
density of states at the Fermi level = 1.81 states/eV/f.u.

Cell: 6.707 6.707 6.707 Å, 108.86 108.86 110.71°
Positions (direct):
La 0.039 0.625 0.914
La 0.375 0.289 0.414
La 0.711 0.125 0.086
La 0.875 0.961 0.586
Bi 0.250 0.750 0.500
Bi 0.500 0.500 0.000
F 0.000 0.000 0.000
F 0.750 0.250 0.500

***

2 | La2BiF: relaxed, PBE.

Summary:
density of states at the Fermi level = 1.88 states/eV/f.u.

Cell: 7.380 7.380 7.380 Å, 33.61 33.61 33.61°
Positions (direct):
La 0.234 0.234 0.234
La 0.766 0.766 0.766
Bi 0.000 0.000 0.000
F 0.500 0.500 0.500

***

3 | La2BiF: relaxed, PBE.

Summary:
density of states at the Fermi level = 4.44 states/eV/f.u.

Cell: 5.391 5.391 5.391 Å, 60.00 60.00 60.00°
Positions (direct):
La 0.250 0.250 0.250
La 0.750 0.750 0.750
Bi 0.000 0.000 0.000
F 0.500 0.500 0.500

***

Stability check: which of them is least stable? 3.

***

1 | LaBiF2: relaxed, PBE.

Summary:
density of states at the Fermi level = 1.42 states/eV/f.u.

Cell: 8.139 8.139 8.139 Å, 140.14 140.14 57.64°
Positions (direct):
La 0.000 0.000 0.000
La 0.750 0.250 0.500
Bi 0.250 0.750 0.500
Bi 0.500 0.500 0.000
F 0.375 0.149 0.274
F 0.851 0.125 0.226
F 0.875 0.101 0.726
F 0.899 0.625 0.774

***

2 | LaBiF2: relaxed, PBE.

Summary:
density of states at the Fermi level = 5.36 states/eV/f.u.

Cell: 4.827 4.827 4.827 Å, 60.00 60.00 60.00°
Positions (direct):
La 0.000 0.000 0.000
Bi 0.500 0.500 0.500
F 0.250 0.250 0.250
F 0.750 0.750 0.750

***

Stability check: which of them is least stable? 2.

***

1 | LaBiF3: relaxed, PBE.

Summary:
density of states at the Fermi level = 5.60 states/eV/f.u.

Cell: 4.804 4.804 4.804 Å, 90.00 90.00 90.00°
Positions (direct):
La 0.000 0.000 0.000
Bi 0.500 0.500 0.500
F 0.000 0.500 0.500
F 0.500 0.000 0.500
F 0.500 0.500 0.000

***

2 | LaBiF3: relaxed, PBE.

Summary:
density of states at the Fermi level = 0.79 states/eV/f.u.

Cell: 4.814 4.814 4.814 Å, 90.00 90.00 90.00°
Positions (direct):
La 0.000 0.000 0.000
Bi 0.500 0.500 0.500
F 0.000 0.000 0.500
F 0.000 0.500 0.000
F 0.500 0.000 0.000

***

Stability check: which of them is least stable? 1.

***

1 | LaBi3F: relaxed, PBE.

Summary:
density of states at the Fermi level = 3.47 states/eV/f.u.

Cell: 5.156 5.156 5.156 Å, 90.00 90.00 90.00°
Positions (direct):
La 0.000 0.000 0.000
Bi 0.000 0.500 0.500
Bi 0.500 0.000 0.500
Bi 0.500 0.500 0.000
F 0.500 0.500 0.500

***

2 | LaBi3F: relaxed, PBE.

Summary:
density of states at the Fermi level = 6.62 states/eV/f.u.

Cell: 6.179 6.179 6.179 Å, 90.00 90.00 90.00°
Positions (direct):
La 0.000 0.000 0.000
Bi 0.000 0.000 0.500
Bi 0.000 0.500 0.000
Bi 0.500 0.000 0.000
F 0.500 0.500 0.500

***

Stability check: which of them is least stable? 2.

***

1 | LaBiN2F: relaxed, PBE.

Summary:
density of states at the Fermi level = 1.27 states/eV/f.u.

Cell: 4.466 4.466 4.347 Å, 90.00 90.00 90.00°
Positions (direct):
La 0.000 0.000 0.000
Bi 0.500 0.500 0.500
N 0.000 0.500 0.500
N 0.500 0.000 0.500
F 0.500 0.500 0.000

***

2 | LaBiN2F: relaxed, PBE.

Summary:
density of states at the Fermi level = 2.47 states/eV/f.u.

Cell: 4.671 4.671 4.457 Å, 90.00 90.00 90.00°
Positions (direct):
La 0.000 0.000 0.000
Bi 0.500 0.500 0.500
N 0.000 0.500 0.000
N 0.500 0.000 0.000
F 0.000 0.000 0.500

***

Stability check: which of them is least stable? 2.

***

1 | LiBiF5: relaxed, PBE.

Summary:
density of states at the Fermi level = 1.78 states/eV/f.u.

Cell: 5.765 5.765 8.532 Å, 112.13 112.13 82.17°
Positions (direct):
Li 0.165 0.835 0.750
Li 0.835 0.165 0.250
Bi 0.000 0.500 0.000
Bi 0.500 0.000 0.500
F 0.144 0.178 0.449
F 0.170 0.584 0.844
F 0.178 0.144 0.949
F 0.319 0.681 0.250
F 0.416 0.830 0.656
F 0.584 0.170 0.344
F 0.681 0.319 0.750
F 0.822 0.856 0.051
F 0.830 0.416 0.156
F 0.856 0.822 0.551

***

2 | LiBiF5: relaxed, PBE.

Summary:
density of states at the Fermi level = 0.88 states/eV/f.u.

Cell: 5.504 5.504 5.504 Å, 99.30 99.30 132.60°
Positions (direct):
Li 0.000 0.000 0.000
Bi 0.250 0.750 0.500
F 0.149 0.441 0.131
F 0.310 0.018 0.869
F 0.559 0.690 0.708
F 0.750 0.250 0.500
F 0.982 0.851 0.292

***

Stability check: which of them is least stable? 1.